The following is a PBE-GGA calculation of a geometry-optimized PmEuSb2 structure, from Alexandria via LeMat-Bulk. Values from VASP.

Results
Formation energy from raw total energies   -1.0270 eV/atom
Excess energy over the best structure of this formula in the dataset   0.0000 eV per atom

```
&SYSTEM
  ibrav = 0, nat = 4, ntyp = 3
/
ATOMIC_SPECIES
Pm 145.00 Pm.upf
Eu 151.96 Eu.upf
Sb 121.76 Sb.upf
ATOMIC_POSITIONS angstrom
Pm 0.000 0.000 0.000
Eu 0.000 0.000 11.242
Sb 0.000 0.000 5.667
Sb 0.000 0.000 16.818
CELL_PARAMETERS angstrom
2.258 1.304 7.495
-2.258 1.304 7.495
0.000 -2.607 7.495
```

---

The following is a PBE-GGA calculation of a geometry-optimized HoEr2Bi3 structure, from Alexandria via LeMat-Bulk. Values from VASP.

Results
E_form   -0.8205 eV/atom

```
&SYSTEM
  ibrav = 0, nat = 6, ntyp = 3
/
ATOMIC_SPECIES
Ho 164.93 Ho.upf
Er 167.26 Er.upf
Bi 208.98 Bi.upf
ATOMIC_POSITIONS angstrom
Ho 0.000 0.000 0.000
Er 0.000 0.000 4.451
Er 0.000 0.000 8.897
Bi 2.224 0.000 2.231
Bi 0.000 3.143 0.000
Bi 0.000 3.143 4.442
CELL_PARAMETERS angstrom
-2.224 3.143 6.674
2.224 -3.143 6.674
2.224 3.143 -6.674
```